(1)
{"formula": "CuHN", "functional": "GGA-PBE", "state": "relaxed", "cell": [[2.830, 0.000, 0.000], [0.000, 7.836, 0.000], [0.000, 0.000, 5.697]], "species": ["H", "H", "H", "H", "Cu", "Cu", "Cu", "Cu", "N", "N", "N", "N"], "fractional_positions": [[0.750, 0.528, 0.177], [0.750, 0.028, 0.323], [0.250, 0.472, 0.823], [0.250, 0.972, 0.677], [0.750, 0.772, 0.901], [0.750, 0.272, 0.599], [0.250, 0.228, 0.099], [0.250, 0.728, 0.401], [0.750, 0.159, 0.302], [0.750, 0.659, 0.198], [0.250, 0.841, 0.698], [0.250, 0.341, 0.802]], "n_ef_per_ev_fu": 1.1, "e_above_lowest_polymorph_mev_per_atom": 0.0, "crystal_system": "orthorhombic"}

=====

(2)
{"formula": "Ba2NaHg2", "functional": "GGA-PBE", "state": "relaxed", "cell": [[-1.279, 8.684, 4.523], [-5.309, 3.218, -7.679], [-3.397, -1.414, 1.755]], "species": ["Na", "Na", "Hg", "Hg", "Hg", "Hg", "Ba", "Ba", "Ba", "Ba"], "fractional_positions": [[0.000, 0.000, 0.000], [0.500, 0.500, 0.000], [0.147, 0.647, 0.500], [0.647, 0.853, 0.500], [0.853, 0.353, 0.500], [0.353, 0.147, 0.500], [0.354, 0.854, 0.000], [0.854, 0.646, 0.000], [0.646, 0.146, 0.000], [0.146, 0.354, 0.000]], "n_ef_per_ev_fu": 4.1, "e_above_lowest_polymorph_mev_per_atom": 108.2, "ef_ev_per_atom": -0.29, "crystal_system": "tetragonal"}

=====

(3)
{"formula": "Pm6Sn2Au", "functional": "GGA-PBE", "state": "relaxed", "cell": [[-1.452, -3.938, -1.188], [7.844, -3.147, 0.845], [-5.325, -0.033, 6.618]], "species": ["Pm", "Pm", "Pm", "Pm", "Pm", "Pm", "Sn", "Sn", "Au"], "fractional_positions": [[0.500, 0.590, 0.000], [0.500, 0.410, 0.410], [0.500, 0.000, 0.590], [0.000, 0.252, 0.000], [0.000, 0.748, 0.748], [0.000, 0.000, 0.252], [0.000, 0.333, 0.667], [0.000, 0.667, 0.333], [0.500, 0.000, 0.000]], "n_ef_per_ev_fu": 12.1, "ef_ev_per_atom": -0.56, "crystal_system": "hexagonal"}

=====

(4)
{"formula": "Li4Tl3Ag2", "functional": "GGA-PBE", "state": "relaxed", "cell": [[-4.388, -0.068, -1.559], [-2.676, -4.084, 0.313], [-2.557, 1.972, 8.345]], "species": ["Li", "Li", "Li", "Li", "Tl", "Tl", "Tl", "Ag", "Ag"], "fractional_positions": [[0.665, 0.669, 0.901], [0.006, 0.995, 0.320], [0.994, 0.005, 0.680], [0.335, 0.331, 0.099], [0.335, 0.333, 0.414], [0.000, 0.000, 0.000], [0.665, 0.667, 0.586], [0.325, 0.341, 0.788], [0.675, 0.659, 0.212]], "n_ef_per_ev_fu": 3.1, "e_above_lowest_polymorph_mev_per_atom": 0.0, "ef_ev_per_atom": -0.17, "crystal_system": "triclinic"}

=====

(5)
{"formula": "RbSmEu2", "functional": "GGA-PBE", "state": "relaxed", "cell": [[3.913, 0.000, 0.000], [0.000, 3.913, 0.000], [0.000, 0.000, 12.423]], "species": ["Eu", "Eu", "Rb", "Sm"], "fractional_positions": [[0.000, 0.000, 0.797], [0.000, 0.000, 0.203], [0.500, 0.500, 0.500], [0.500, 0.500, 0.000]], "n_ef_per_ev_fu": 16.6, "e_above_lowest_polymorph_mev_per_atom": 0.0, "ef_ev_per_atom": 0.18, "crystal_system": "tetragonal"}

=====

(6)
{"formula": "BRhI2N", "functional": "GGA-PBE", "state": "relaxed", "cell": [[-2.844, 4.464, -3.243], [-5.470, -1.806, 2.312], [0.322, 1.753, 2.131]], "species": ["I", "I", "B", "Rh", "N"], "fractional_positions": [[0.000, 0.500, 0.000], [0.500, 0.000, 0.000], [0.000, 0.000, 0.000], [0.500, 0.500, 0.500], [0.000, 0.000, 0.500]], "n_ef_per_ev_fu": 3.9, "e_above_lowest_polymorph_mev_per_atom": 0.0, "e_form_raw_ev_per_atom": 0.56, "crystal_system": "tetragonal"}

=====

(7)
{"formula": "K6PbCl12", "functional": "GGA-PBE", "state": "relaxed", "cell": [[8.764, -0.321, -0.845], [-0.899, 8.724, -0.845], [-0.301, -0.321, 8.800]], "species": ["K", "K", "K", "K", "K", "K", "Pb", "Cl", "Cl", "Cl", "Cl", "Cl", "Cl", "Cl", "Cl", "Cl", "Cl", "Cl", "Cl"], "fractional_positions": [[0.161, 0.286, 0.625], [0.714, 0.375, 0.839], [0.375, 0.839, 0.714], [0.839, 0.714, 0.375], [0.286, 0.625, 0.161], [0.625, 0.161, 0.286], [0.000, 0.000, 0.000], [0.468, 0.152, 0.583], [0.152, 0.583, 0.468], [0.583, 0.468, 0.152], [0.532, 0.848, 0.417], [0.848, 0.417, 0.532], [0.417, 0.532, 0.848], [0.016, 0.946, 0.708], [0.292, 0.984, 0.054], [0.054, 0.292, 0.984], [0.984, 0.054, 0.292], [0.708, 0.016, 0.946], [0.946, 0.708, 0.016]], "n_ef_per_ev_fu": 7.5, "e_form_raw_ev_per_atom": -1.34, "crystal_system": "trigonal"}

=====

(8)
{"formula": "K3Pu3PbSe8", "functional": "GGA-PBE", "state": "relaxed", "cell": [[8.531, 0.000, 0.000], [-4.265, 7.389, -0.024], [0.000, -4.899, 7.638]], "species": ["K", "K", "K", "Pu", "Pu", "Pu", "Pb", "Se", "Se", "Se", "Se", "Se", "Se", "Se", "Se"], "fractional_positions": [[0.000, 0.000, 0.000], [0.000, 0.500, 0.000], [0.500, 0.500, 0.000], [0.500, 0.000, 0.500], [0.500, 0.500, 0.500], [0.000, 0.500, 0.500], [0.000, 0.000, 0.500], [0.265, 0.531, 0.296], [0.735, 0.469, 0.704], [0.754, 0.508, 0.296], [0.246, 0.492, 0.704], [0.754, 0.042, 0.296], [0.246, 0.958, 0.704], [0.288, 0.042, 0.296], [0.712, 0.958, 0.704]], "n_ef_per_ev_fu": 28.2, "e_form_raw_ev_per_atom": -1.26, "crystal_system": "trigonal"}

=====

(9)
{"formula": "Sb2RhCl", "functional": "GGA-PBE", "state": "relaxed", "cell": [[8.100, 0.015, -0.025], [7.418, 3.252, -0.025], [0.981, 0.207, 3.960]], "species": ["Cl", "Rh", "Sb", "Sb"], "fractional_positions": [[0.473, 0.473, 0.517], [0.701, 0.701, 0.804], [0.069, 0.069, 0.927], [0.257, 0.257, 0.252]], "n_ef_per_ev_fu": 1.9, "e_form_raw_ev_per_atom": -0.21, "crystal_system": "monoclinic"}

=====

(10)
{"formula": "LiTb2TcO6", "functional": "GGA-PBE", "state": "relaxed", "cell": [[-3.345, 0.842, 4.326], [-2.651, -4.267, 2.319], [1.649, -1.804, 5.165]], "species": ["Li", "Tb", "Tb", "Tc", "O", "O", "O", "O", "O", "O"], "fractional_positions": [[0.803, 0.803, 0.592], [0.534, 0.534, 0.399], [0.030, 0.030, 0.909], [0.320, 0.320, 0.040], [0.578, 0.193, 0.253], [0.193, 0.976, 0.253], [0.976, 0.578, 0.253], [0.446, 0.672, 0.772], [0.672, 0.110, 0.772], [0.110, 0.446, 0.772]], "n_ef_per_ev_fu": 6.3, "e_form_raw_ev_per_atom": -2.53, "crystal_system": "trigonal"}

=====

Please write out number 2 again, unchanged.
{"formula": "Ba2NaHg2", "functional": "GGA-PBE", "state": "relaxed", "cell": [[-1.279, 8.684, 4.523], [-5.309, 3.218, -7.679], [-3.397, -1.414, 1.755]], "species": ["Na", "Na", "Hg", "Hg", "Hg", "Hg", "Ba", "Ba", "Ba", "Ba"], "fractional_positions": [[0.000, 0.000, 0.000], [0.500, 0.500, 0.000], [0.147, 0.647, 0.500], [0.647, 0.853, 0.500], [0.853, 0.353, 0.500], [0.353, 0.147, 0.500], [0.354, 0.854, 0.000], [0.854, 0.646, 0.000], [0.646, 0.146, 0.000], [0.146, 0.354, 0.000]], "n_ef_per_ev_fu": 4.1, "e_above_lowest_polymorph_mev_per_atom": 108.2, "ef_ev_per_atom": -0.29, "crystal_system": "tetragonal"}

=====

Repeat the ninth record exactly.
{"formula": "Sb2RhCl", "functional": "GGA-PBE", "state": "relaxed", "cell": [[8.100, 0.015, -0.025], [7.418, 3.252, -0.025], [0.981, 0.207, 3.960]], "species": ["Cl", "Rh", "Sb", "Sb"], "fractional_positions": [[0.473, 0.473, 0.517], [0.701, 0.701, 0.804], [0.069, 0.069, 0.927], [0.257, 0.257, 0.252]], "n_ef_per_ev_fu": 1.9, "e_form_raw_ev_per_atom": -0.21, "crystal_system": "monoclinic"}

=====

Q: What is the formula in the sixth record?
A: BRhI2N